VASP calculation (PBE) on an optimized crystal structure of La2GeB2Ru5.

Calculated values
Calculated formation energy: -0.329 eV per atom
Magnetization: 0.0 μB per formula unit
Energy: -0.570 Ry/atom

Unit cell a=9.7970 b=9.7970 c=3.1428 alpha=90.00 beta=90.00 gamma=90.00
Positions (direct):
La 0.1765 0.3235 0.0000
La 0.3235 0.8235 0.0000
La 0.6765 0.1765 0.0000
La 0.8235 0.6765 0.0000
Ge 0.0000 0.0000 0.0000
Ge 0.5000 0.5000 0.0000
B 0.1211 0.6211 0.0000
B 0.3789 0.1211 0.0000
B 0.6211 0.8789 0.0000
B 0.8789 0.3789 0.0000
Ru 0.0000 0.5000 0.5000
Ru 0.0688 0.7806 0.5000
Ru 0.2194 0.0688 0.5000
Ru 0.2806 0.5688 0.5000
Ru 0.4312 0.2806 0.5000
Ru 0.5000 0.0000 0.5000
Ru 0.5688 0.7194 0.5000
Ru 0.7194 0.4312 0.5000
Ru 0.7806 0.9312 0.5000
Ru 0.9312 0.2194 0.5000